An optimized crystal structure of Ac3TcN5. Source: the Open Quantum Materials Database, functional PBE.

a = 7.1403 Å, b = 7.1403 Å, c = 11.8587 Å
α = 90.00°, β = 90.00°, γ = 90.00°
Space group I4/mcm (No. 140)
Asymmetric unit:
Ac 0.0000 0.0000 0.2500 [4 per cell]
Ac 0.1755 0.3245 0.0000 [8 per cell]
Tc 0.0000 0.5000 0.2500 [4 per cell]
N 0.0000 0.0000 0.0000 [4 per cell]
N 0.1445 0.3555 0.3460 [16 per cell]

## Properties
- energy (eV for the cell shown) = -290.2
- calculated density (g cm⁻³) = 9.33


An optimized crystal structure of Ac3Tc2N6. Source: the Open Quantum Materials Database, functional PBE.

a = 3.9867 Å, b = 3.9867 Å, c = 20.8343 Å
α = 90.00°, β = 90.00°, γ = 90.00°
Space group I4/mmm (No. 139)
Asymmetric unit:
Ac 0.0000 0.0000 0.0000 [2 per cell]
Ac 0.0000 0.0000 0.1833 [4 per cell]
Tc 0.0000 0.0000 0.4055 [4 per cell]
N 0.0000 0.0000 0.3048 [4 per cell]
N 0.0000 0.5000 0.0886 [8 per cell]

## Properties
- energy (eV for the cell shown) = -183.3
- calculated density (g cm⁻³) = 9.64


An optimized crystal structure of Ac3W2N6. Source: the Open Quantum Materials Database, functional PBE.

a = 4.0580 Å, b = 4.0580 Å, c = 20.7641 Å
α = 90.00°, β = 90.00°, γ = 90.00°
Space group I4/mmm (No. 139)
Asymmetric unit:
Ac 0.0000 0.0000 0.0000 [2 per cell]
Ac 0.0000 0.0000 0.1818 [4 per cell]
W 0.0000 0.0000 0.4016 [4 per cell]
N 0.0000 0.0000 0.3067 [4 per cell]
N 0.0000 0.5000 0.0887 [8 per cell]

## Properties
- energy (eV for the cell shown) = -198.9
- calculated density (g cm⁻³) = 11.00


An optimized crystal structure of Na2AcNb4. Source: the Open Quantum Materials Database, functional PBE.

a = 3.1597 Å, b = 3.1597 Å, c = 19.6577 Å
α = 90.00°, β = 90.00°, γ = 120.00°
Space group P-3m1 (No. 164)
Asymmetric unit:
Na 0.3333 0.6667 0.1971 [2 per cell]
Ac 0.0000 0.0000 0.5000 [1 per cell]
Nb 0.3333 0.6667 0.3531 [2 per cell]
Nb 0.3333 0.6667 0.9512 [2 per cell]

## Properties
- energy (eV for the cell shown) = -40.5
- calculated density (g cm⁻³) = 6.30